Density functional theory data (PBE) for a relaxed structure of LaTi2Ru2.

a b c (Å): 7.7677 7.7677 2.9834
angles (deg): 90.00 90.00 90.00
Closest atoms and distances in Å follow each position.
Positions (direct):
Ru  0.1441  0.6441  0.5000  6 Ti 2.63-2.85
Ru  0.6441  0.8559  0.5000  6 Ti 2.63-2.85
Ru  0.8559  0.3559  0.5000  6 Ti 2.63-2.85
Ru  0.3559  0.1441  0.5000  6 Ti 2.63-2.85
Ti  0.3650  0.8650  0.0000  6 Ru 2.63-2.85
Ti  0.8650  0.6350  0.0000  6 Ru 2.63-2.85
Ti  0.6350  0.1350  0.0000  6 Ru 2.63-2.85
Ti  0.1350  0.3650  0.0000  6 Ru 2.63-2.85
La  0.0000  0.0000  0.0000  2 La 2.98, 4 Ti 3.02, 8 Ru 3.33
La  0.5000  0.5000  0.0000  2 La 2.98, 4 Ti 3.02, 8 Ru 3.33

Properties
Space-group type: P4/mbm
ΔH_f (0 K) (meV per atom): -228
Energy above the most stable polymorph in this dataset (kJ per mole of atoms): 18.0

Density functional theory data (PBE) for a relaxed structure of LaTiRu3.

a b c (Å): 4.6343 4.6343 4.6343
angles (deg): 90.00 90.00 90.00
Closest atoms and distances in Å follow each position.
Positions (direct):
Ru  0.0000  0.5000  0.0000  2 Ti 2.32
Ru  0.0000  0.0000  0.5000  2 Ti 2.32
Ru  0.5000  0.0000  0.0000  2 Ti 2.32
Ti  0.0000  0.0000  0.0000  6 Ru 2.32
La  0.5000  0.5000  0.5000  12 Ru 3.28

Properties
Space-group type: Pm-3m
ΔH_f (0 K) (meV per atom): 309
Energy above the most stable polymorph in this dataset (kJ per mole of atoms): 0.0

Density functional theory data (PBE) for a relaxed structure of La6TlRu3.

a b c (Å): 4.1916 12.1396 12.4997
angles (deg): 108.15 90.00 90.00
Closest atoms and distances in Å follow each position.
Positions (direct):
La  0.7500  0.4763  0.6118  3 Ru 2.77-2.92
La  0.2500  0.5237  0.3882  3 Ru 2.77-2.92
La  0.7500  0.9280  0.0869  3 Ru 2.84-2.95
La  0.2500  0.0720  0.9131  3 Ru 2.84-2.95
La  0.7500  0.3878  0.0481  4 Ru 2.88-3.14
La  0.2500  0.6122  0.9519  4 Ru 2.88-3.14
La  0.7500  0.6982  0.2594  3 Ru 2.85-3.11
La  0.2500  0.3018  0.7406  3 Ru 2.85-3.11
La  0.7500  0.1564  0.4637  2 Ru 2.79
La  0.2500  0.8436  0.5363  2 Ru 2.79
La  0.7500  0.7799  0.7696  2 Ru 2.73
La  0.2500  0.2201  0.2304  2 Ru 2.73
Tl  0.7500  0.0571  0.6944  8 La 3.40-3.77
Tl  0.2500  0.9429  0.3056  8 La 3.40-3.77
Ru  0.7500  0.4629  0.8290  5 La 2.77-2.88
Ru  0.2500  0.5371  0.1710  5 La 2.77-2.88
Ru  0.7500  0.6845  0.5037  5 La 2.79-3.11
Ru  0.2500  0.3155  0.4963  5 La 2.79-3.11
Ru  0.7500  0.1610  0.0842  6 La 2.73-2.95
Ru  0.2500  0.8390  0.9158  6 La 2.73-2.95

Properties
Space-group type: P2_1/m
ΔH_f (0 K) (meV per atom): -271

Density functional theory data (PBE) for a relaxed structure of La2TlRu.

a b c (Å): 9.1076 9.1076 9.1076
angles (deg): 25.20 25.20 25.20
Closest atoms and distances in Å follow each position.
Positions (direct):
La  0.0117  0.0117  0.0117  3 Tl 3.37
La  0.2197  0.2197  0.2197  3 Ru 2.73
Ru  0.4970  0.4970  0.4970  3 La 2.73, 3 Tl 2.77
Tl  0.7716  0.7716  0.7716  3 Ru 2.77

Properties
Space-group type: R3m
ΔH_f (0 K) (meV per atom): 90
Energy above the most stable polymorph in this dataset (kJ per mole of atoms): 38.5

Density functional theory data (PBE) for a relaxed structure of LaTlRu2.

a b c (Å): 8.1856 8.1856 8.1856
angles (deg): 24.48 24.48 24.48
Closest atoms and distances in Å follow each position.
Positions (direct):
La  0.7500  0.7500  0.7500  6 Ru 2.81
Ru  0.0006  0.0006  0.0006  3 La 2.81, 3 Tl 2.83
Ru  0.4994  0.4994  0.4994  3 La 2.81, 3 Tl 2.83
Tl  0.2500  0.2500  0.2500  6 Ru 2.83

Properties
Space-group type: R-3m
ΔH_f (0 K) (meV per atom): 475
Energy above the most stable polymorph in this dataset (kJ per mole of atoms): 30.8

Density functional theory data (PBE) for a relaxed structure of La2TlRu.

a b c (Å): 5.3397 5.3397 5.3397
angles (deg): 60.00 60.00 60.00
Closest atoms and distances in Å follow each position.
Positions (direct):
Ru  0.0000  0.0000  0.0000  8 La 3.27
Tl  0.5000  0.5000  0.5000  8 La 3.27
La  0.2500  0.2500  0.2500  4 Tl 3.27, 4 Ru 3.27
La  0.7500  0.7500  0.7500  4 Ru 3.27, 4 Tl 3.27

Properties
Space-group type: Fm-3m
ΔH_f (0 K) (meV per atom): -149
Energy above the most stable polymorph in this dataset (kJ per mole of atoms): 15.5

Density functional theory data (PBE) for a relaxed structure of La3Tl2Ru.

a b c (Å): 5.3750 7.6930 9.1243
angles (deg): 90.04 107.13 90.00
Closest atoms and distances in Å follow each position.
Positions (direct):
La  0.5008  0.2500  0.0000  2 Ru 2.68-2.69
La  0.4992  0.7500  0.0000  2 Ru 2.68-2.69
La  0.1290  0.0000  0.2581  2 Ru 2.96
La  0.8710  0.5000  0.7419  2 Ru 2.96
La  0.1290  0.5000  0.2581  2 Ru 2.96
La  0.8710  0.0000  0.7419  2 Ru 2.96
Tl  0.6957  0.7496  0.3918  2 Tl 3.28, 7 La 3.42-3.61
Tl  0.6960  0.2496  0.3918  2 Tl 3.28, 7 La 3.42-3.61
Tl  0.3040  0.7504  0.6082  2 Tl 3.28, 7 La 3.42-3.61
Tl  0.3043  0.2504  0.6082  2 Tl 3.28, 7 La 3.42-3.61
Ru  0.9987  0.7500  0.0000  6 La 2.68-2.96
Ru  0.0013  0.2500  0.0000  6 La 2.68-2.96

Properties
Space-group type: C2/c
ΔH_f (0 K) (meV per atom): -342

Density functional theory data (PBE) for a relaxed structure of LaTl2Ru.

a b c (Å): 5.5310 5.5310 5.5310
angles (deg): 130.43 130.43 72.73
Closest atoms and distances in Å follow each position.
Positions (direct):
La  0.2500  0.7500  0.5000  8 Tl 3.22, 4 Ru 3.28
Ru  0.7500  0.2500  0.5000  8 Tl 3.22, 4 La 3.28
Tl  0.0000  0.0000  0.0000  4 La 3.22, 4 Ru 3.22, 4 Tl 3.28
Tl  0.5000  0.5000  0.0000  4 Ru 3.22, 4 La 3.22, 4 Tl 3.28

Properties
Space-group type: I4/mmm
ΔH_f (0 K) (meV per atom): 61